A plane-wave DFT calculation with PBE was carried out for In2INF after structural relaxation.

Output
For the magnetic moment, the calculation gives 0.00 μB/f.u. The calculated total energy is -0.248 Ry per atom.

Lattice parameters (Å, degrees): 4.740 4.659 4.740 90.00 90.00 90.00
Sites, in units of the cell vectors:
I: 0.500 0.500 0.500
N: 0.000 0.000 0.000
F: 0.000 0.500 0.000
In: 0.000 0.000 0.500
In: 0.500 0.000 0.000